1.
CdHg2W: relaxed, PBE.

Output
Energy of formation: 4.070 eV/f.u.
E_tot: -2.60 eV/atom
Total moment: 0.74 μB/f.u.

a = 4.163 Å, b = 4.163 Å, c = 20.243 Å
α = 90.00°, β = 90.00°, γ = 90.00°
Space group I-42d (No. 122)
Symmetry-distinct sites (fractional):
Cd 0.000 0.000 0.000 [4 per cell]
Hg 0.239 0.250 0.625 [8 per cell]
W 0.000 0.000 0.500 [4 per cell]

***

2.
ScZnBr2: relaxed, PBE.

Output
Formation energy from raw total energies: -0.45 eV/atom
Excess energy over the best structure of this formula in the dataset: 450.4 meV per atom
E_tot: -3.19 eV/atom
Total moment: 0.35 μB/f.u.

a = 4.865 Å, b = 3.554 Å, c = 5.767 Å
α = 90.00°, β = 112.25°, γ = 90.00°
Space group P2/m (No. 10)
Symmetry-distinct sites (fractional):
Sc 0.000 0.000 0.000 [1 per cell]
Zn 0.500 0.500 0.500 [1 per cell]
Br 0.000 0.000 0.500 [1 per cell]
Br 0.500 0.500 0.000 [1 per cell]

***

3.
BeCdRu3: relaxed, PBE.

Output
Energy of formation: 12.824 eV/f.u.
Excess energy over the best structure of this formula in the dataset: 2006.0 meV per atom
E_tot: -3.93 eV/atom
Total moment: 5.90 μB/f.u.

a = 4.871 Å, b = 4.871 Å, c = 4.871 Å
α = 90.00°, β = 90.00°, γ = 90.00°
Space group Pm-3m (No. 221)
Symmetry-distinct sites (fractional):
Be 0.000 0.000 0.000 [1 per cell]
Cd 0.500 0.500 0.500 [1 per cell]
Ru 0.000 0.500 0.500 [3 per cell]

***

4.
LaSnSe2O: relaxed, PBE.

Output
Formation energy from raw total energies: -1.73 eV/atom
E_tot: -5.90 eV/atom
Total moment: 0.00 μB/f.u.

a = 4.036 Å, b = 4.036 Å, c = 15.252 Å
α = 90.00°, β = 90.00°, γ = 90.00°
Space group P4/nmm (No. 129, origin choice 2)
Symmetry-distinct sites (fractional):
La 0.250 0.250 0.083 [2 per cell]
Sn 0.250 0.250 0.643 [2 per cell]
Se 0.250 0.250 0.399 [2 per cell]
Se 0.250 0.250 0.811 [2 per cell]
O 0.250 0.750 0.000 [2 per cell]

***

5.
La3Tl: relaxed, PBE.

Output
Energy of formation: -0.640 eV/f.u.
Excess energy over the best structure of this formula in the dataset: 83.5 meV per atom
E_tot: -4.45 eV/atom
Total moment: 0.00 μB/f.u.

a = 7.932 Å, b = 8.694 Å, c = 3.817 Å
α = 90.00°, β = 90.00°, γ = 90.00°
Space group Cmmm (No. 65)
Symmetry-distinct sites (fractional):
La 0.000 0.000 0.000 [2 per cell]
La 0.250 0.250 0.500 [4 per cell]
Tl 0.000 0.500 0.000 [2 per cell]

***

6.
PmCdAu: relaxed, PBE.

Output
Energy of formation: -1.472 eV/f.u.
Excess energy over the best structure of this formula in the dataset: 165.6 meV per atom
E_tot: -3.47 eV/atom
Total moment: 0.00 μB/f.u.

a = 5.1210 Å, b = 5.1210 Å, c = 21.4963 Å
α = 90.00°, β = 90.00°, γ = 120.00°
Space group R-3m (No. 166, hexagonal axes)
Symmetry-distinct sites (fractional):
Pm 0.0000 0.0000 0.1093 [6 per cell]
Cd 0.0000 0.0000 0.3783 [6 per cell]
Au 0.0000 0.0000 0.2475 [6 per cell]

***

7.
KTmHgCl6: relaxed, PBE.

Output
Formation energy from raw total energies: -1.66 eV/atom
E_tot: -3.54 eV/atom
Total moment: 0.00 μB/f.u.

a = 6.9452 Å, b = 6.9452 Å, c = 13.8163 Å
α = 90.00°, β = 90.00°, γ = 120.00°
Space group P-31c (No. 163)
Symmetry-distinct sites (fractional):
K 0.0000 0.0000 0.0000 [2 per cell]
Tm 0.3333 0.6667 0.2500 [2 per cell]
Hg 0.3333 0.6667 0.7500 [2 per cell]
Cl 0.0112 0.3764 0.1398 [12 per cell]

***

8.
Cs2HgSb2: relaxed, PBE.

Output
Formation energy from raw total energies: -0.18 eV/atom
Excess energy over the best structure of this formula in the dataset: 49.1 meV per atom
E_tot: -2.23 eV/atom
Total moment: 0.00 μB/f.u.

a = 7.438 Å, b = 7.438 Å, c = 9.768 Å
α = 90.00°, β = 90.00°, γ = 90.00°
Space group I4/mmm (No. 139)
Symmetry-distinct sites (fractional):
Cs 0.000 0.500 0.250 [4 per cell]
Hg 0.000 0.000 0.000 [2 per cell]
Sb 0.000 0.000 0.361 [4 per cell]

***

9.
CeTl2CrCl8: relaxed, PBE.

Output
Formation energy from raw total energies: -1.41 eV/atom
E_tot: -4.33 eV/atom
Total moment: 4.00 μB/f.u.

a = 6.641 Å, b = 7.956 Å, c = 7.216 Å
α = 90.00°, β = 91.84°, γ = 90.00°
Space group P2/m (No. 10)
Symmetry-distinct sites (fractional):
Ce 0.000 0.000 0.000 [1 per cell]
Tl 0.500 0.272 0.500 [2 per cell]
Cr 0.000 0.500 0.000 [1 per cell]
Cl 0.181 0.500 0.280 [2 per cell]
Cl 0.218 0.277 0.882 [4 per cell]
Cl 0.224 0.000 0.317 [2 per cell]

***

10.
KLiTmF6: relaxed, PBE.

Output
Formation energy from raw total energies: -3.10 eV/atom
E_tot: -5.18 eV/atom
Total moment: 1.00 μB/f.u.

a = 7.233 Å, b = 7.401 Å, c = 9.436 Å
α = 90.00°, β = 90.00°, γ = 90.00°
Space group Imma (No. 74)
Symmetry-distinct sites (fractional):
K 0.000 0.250 0.087 [4 per cell]
Li 0.250 0.250 0.750 [4 per cell]
Tm 0.000 0.000 0.500 [4 per cell]
F 0.000 0.250 0.374 [4 per cell]
F 0.000 0.250 0.648 [4 per cell]
F 0.230 0.031 0.880 [16 per cell]

***

11.
AcPmTe4: relaxed, PBE.

Output
Formation energy from raw total energies: -1.09 eV/atom
E_tot: -4.66 eV/atom
Total moment: 0.00 μB/f.u.

a = 7.405 Å, b = 7.405 Å, c = 16.601 Å
α = 90.00°, β = 90.00°, γ = 90.00°
Space group I4_1/amd (No. 141, origin choice 2)
Symmetry-distinct sites (fractional):
Ac 0.000 0.250 0.375 [4 per cell]
Pm 0.000 0.250 0.875 [4 per cell]
Te 0.237 0.000 0.000 [16 per cell]

***

12.
KTl9Cd3: relaxed, PBE.

Output
Energy of formation: -0.161 eV/f.u.
E_tot: -1.95 eV/atom
Total moment: 0.00 μB/f.u.

a = 6.128 Å, b = 16.172 Å, c = 8.608 Å
α = 90.00°, β = 110.74°, γ = 90.00°
Space group C2/m (No. 12)
Symmetry-distinct sites (fractional):
K 0.000 0.000 0.000 [2 per cell]
Tl 0.000 0.000 0.500 [2 per cell]
Tl 0.095 0.393 0.208 [8 per cell]
Tl 0.174 0.180 0.353 [8 per cell]
Cd 0.000 0.500 0.500 [2 per cell]
Cd 0.250 0.250 0.000 [4 per cell]

***

Copy entry 9 word for word.
CeTl2CrCl8: relaxed, PBE.

Output
Formation energy from raw total energies: -1.41 eV/atom
E_tot: -4.33 eV/atom
Total moment: 4.00 μB/f.u.

a = 6.641 Å, b = 7.956 Å, c = 7.216 Å
α = 90.00°, β = 91.84°, γ = 90.00°
Space group P2/m (No. 10)
Symmetry-distinct sites (fractional):
Ce 0.000 0.000 0.000 [1 per cell]
Tl 0.500 0.272 0.500 [2 per cell]
Cr 0.000 0.500 0.000 [1 per cell]
Cl 0.181 0.500 0.280 [2 per cell]
Cl 0.218 0.277 0.882 [4 per cell]
Cl 0.224 0.000 0.317 [2 per cell]

***

> Look up the total moment of the twelfth one.

0.00 μB/f.u.

***

> Which of these has the highest total moment?

BeCdRu3